The following is a PBE with a Hubbard U calculation of crystalline MnTlF5 at its relaxed geometry, from the Alexandria database.

a b c (Å): 9.1781 6.8204 7.8116
angles (deg): 90.00 114.25 90.00
With the nearest neighbours (Å) after each atom.
Space group C2/c (No. 15)
Symmetry-distinct sites (fractional):
Mn  0.0000  0.0000  0.0000 [4 per cell]  6 F 2.10-2.14
Tl  0.0000  0.4536  0.2500 [4 per cell]  5 F 2.11-2.33
F  0.0000  0.1125  0.2500 [4 per cell]  2 Mn 2.10, 1 Tl 2.33
F  0.0181  0.3095  0.9641 [8 per cell]  1 Mn 2.14, 1 Tl 2.28
F  0.2480  0.0435  0.6340 [8 per cell]  1 Mn 2.10, 1 Tl 2.11

Summary:
Mass density (g/cm3): 5.28
Size of the total moment (μB/cell): 20.00
Uncorrected energy (eV/cell): -138.0